AlAs2W: optimized geometry, PBE.

The energy of formation comes out at 360 meV per atom. For the relative energy among the computed polymorphs, the calculation gives 295 meV per atom. Its total energy is -6.138 eV/atom.

Cell lengths 3.303, 4.765, 9.365 Å; angles 90.00, 90.00, 90.00 degrees
Sites, in units of the cell vectors:
Al 0.000 0.000 0.000
Al 0.500 0.500 0.000
As 0.000 0.500 0.283
As 0.000 0.500 0.717
As 0.500 0.000 0.283
As 0.500 0.000 0.717
W 0.000 0.000 0.500
W 0.500 0.500 0.500